The following is a DFT calculation (GGA+U) of a geometry-optimized NaCo2WF structure.

Values from the calculation:
electronic total energy = -3.52 eV per atom
volume = 95 Å³/cell

abc: 4.6899 4.6899 4.3007
angles: 90.00 90.00 90.00
With the nearest neighbours (Å) after each atom.
Positions (direct):
Na  0.0000  0.0000  0.0000  8 Co 3.18, 4 W 3.32
Co  0.0000  0.5000  0.5000  2 F 2.34
Co  0.5000  0.0000  0.5000  2 F 2.34
W  0.5000  0.5000  0.0000  2 F 2.15
F  0.5000  0.5000  0.5000  2 W 2.15, 4 Co 2.34